First-principles (PBE) data for a geometry-optimized V2Cu2RhS6 structure, as listed in Alexandria.

Cell lengths 5.7128, 10.3262, 6.9864 Å; angles 90.00, 103.30, 90.00 degrees
With the nearest neighbours (Å) after each atom.
Space group C2/m (No. 12)
Inequivalent atoms, fractional coordinates:
V 0.0000 0.1297 0.0000  6 S 2.28-2.53
Cu 0.0000 0.3357 0.5000  2 S 2.15
Rh 0.0000 0.5000 0.0000  6 S 2.40-2.45
S 0.1056 0.0000 0.7687  2 V 2.28, 1 Rh 2.45
S 0.1086 0.3232 0.8150  1 Cu 2.15, 1 V 2.36, 1 Rh 2.40

First-principles (PBE) data for a geometry-optimized VCuRhS4 structure, as listed in Alexandria.

Cell lengths 6.6984, 7.1997, 9.9067 Å; angles 90.00, 90.00, 90.00 degrees
With the nearest neighbours (Å) after each atom.
Space group Imma (No. 74)
Inequivalent atoms, fractional coordinates:
V 0.2500 0.2500 0.2500  6 S 2.39
Cu 0.0000 0.2500 0.6323  4 S 2.26
Rh 0.0000 0.0000 0.0000  6 S 2.39-2.40
S 0.0000 0.0128 0.2421  1 Cu 2.26, 2 V 2.39, 1 Rh 2.40
S 0.2354 0.2500 0.0092  1 Cu 2.26, 1 V 2.39, 2 Rh 2.39

First-principles (PBE) data for a geometry-optimized CuRhW2S structure, as listed in Alexandria.

Cell lengths 4.3975, 4.3975, 4.3272 Å; angles 90.00, 90.00, 90.00 degrees
With the nearest neighbours (Å) after each atom.
Space group P4/mmm (No. 123)
Inequivalent atoms, fractional coordinates:
Cu 0.0000 0.0000 0.0000  8 W 3.08, 4 Rh 3.11
Rh 0.5000 0.5000 0.0000  2 S 2.16
W 0.0000 0.5000 0.5000  2 S 2.20
S 0.5000 0.5000 0.5000  2 Rh 2.16, 4 W 2.20

First-principles (PBE) data for a geometry-optimized YCuRh2S structure, as listed in Alexandria.

Cell lengths 4.7006, 4.7006, 4.2053 Å; angles 90.00, 90.00, 90.00 degrees
With the nearest neighbours (Å) after each atom.
Space group P4/mmm (No. 123)
Inequivalent atoms, fractional coordinates:
Y 0.0000 0.0000 0.0000  8 Rh 3.15, 4 S 3.32
Cu 0.5000 0.5000 0.5000  2 S 2.10, 4 Rh 2.35
Rh 0.0000 0.5000 0.5000  2 Cu 2.35
S 0.5000 0.5000 0.0000  2 Cu 2.10

First-principles (PBE) data for a geometry-optimized CuSb2Rh structure, as listed in Alexandria.

Cell lengths 6.6869, 6.6869, 6.6869 Å; angles 90.00, 90.00, 90.00 degrees
With the nearest neighbours (Å) after each atom.
Space group Fm-3m (No. 225)
Inequivalent atoms, fractional coordinates:
Cu 0.0000 0.0000 0.0000  8 Sb 2.90
Sb 0.2500 0.2500 0.2500  4 Cu 2.90, 4 Rh 2.90
Rh 0.0000 0.0000 0.5000  8 Sb 2.90

First-principles (PBE) data for a geometry-optimized Cu2SbRh structure, as listed in Alexandria.

Cell lengths 6.2255, 6.2255, 6.2255 Å; angles 90.00, 90.00, 90.00 degrees
With the nearest neighbours (Å) after each atom.
Space group F-43m (No. 216)
Inequivalent atoms, fractional coordinates:
Cu 0.0000 0.0000 0.0000  4 Sb 2.70, 4 Cu 2.70
Cu 0.2500 0.2500 0.2500  4 Cu 2.70, 4 Rh 2.70
Sb 0.2500 0.2500 0.7500  4 Cu 2.70, 4 Rh 2.70
Rh 0.0000 0.0000 0.5000  4 Sb 2.70, 4 Cu 2.70

First-principles (PBE) data for a geometry-optimized CuSb2Rh structure, as listed in Alexandria.

Cell lengths 4.0132, 4.0132, 9.4037 Å; angles 90.00, 90.00, 90.00 degrees
With the nearest neighbours (Å) after each atom.
Space group I-4m2 (No. 119)
Inequivalent atoms, fractional coordinates:
Cu 0.0000 0.0000 0.0000  8 Sb 2.84-3.09, 4 Rh 3.09
Sb 0.0000 0.0000 0.5000  4 Cu 2.84, 4 Sb 3.09, 4 Rh 3.09
Sb 0.0000 0.5000 0.2500  4 Rh 2.84, 4 Cu 3.09, 4 Sb 3.09
Rh 0.0000 0.5000 0.7500  8 Sb 2.84-3.09, 4 Cu 3.09

First-principles (PBE) data for a geometry-optimized CuSb2Rh structure, as listed in Alexandria.

Cell lengths 6.5128, 6.5895, 3.5016 Å; angles 90.00, 90.00, 90.00 degrees
With the nearest neighbours (Å) after each atom.
Space group Cmmm (No. 65)
Inequivalent atoms, fractional coordinates:
Cu 0.0000 0.0000 0.0000  8 Sb 2.90
Sb 0.2500 0.2500 0.5000  4 Cu 2.90, 4 Rh 2.90
Rh 0.0000 0.5000 0.0000  8 Sb 2.90

| no. | DFT total energy (eV per atom) | magnetization (μB/cell) |
| --- | --- | --- |
| 1 | -5.8712 | 2.0 |
| 2 | -5.9016 | 4.4 |
| 3 | -7.5038 | 0.0 |
| 4 | -5.7743 | 0.0 |
| 5 | -4.9191 | 0.0 |
| 6 | -4.9629 | 0.0 |
| 7 | -4.8080 | 0.0 |
| 8 | -4.8641 | 0.0 |